Below is Ta2BeCu after structural relaxation, with properties calculated at the PBE level.

Calculated values
- ΔH_f (0 K): 0.327 eV per atom
- Symmetry: No. 12

a b c (Å): 4.836 4.836 4.785
angles (deg): 100.88 100.88 33.68
Sites, in units of the cell vectors:
Ta  0.249  0.249  0.246
Ta  0.751  0.751  0.754
Be  0.500  0.500  0.000
Cu  0.000  0.000  0.500


Below is LiZr2Be after structural relaxation, with properties calculated at the PBE level.

Calculated values
- ΔH_f (0 K): 0.115 eV per atom
- Symmetry: No. 10

a b c (Å): 3.186 3.183 6.850
angles (deg): 90.00 90.12 90.00
Sites, in units of the cell vectors:
Li  0.000  0.000  0.000
Zr  0.500  0.500  0.270
Zr  0.500  0.500  0.730
Be  0.000  0.000  0.500


Below is LaTb12Sm6 after structural relaxation, with properties calculated at the PBE level.

Calculated values
- ΔH_f (0 K): 0.149 eV per atom
- Symmetry: No. 148

a b c (Å): 8.607 8.607 8.607
angles (deg): 88.82 88.82 88.82
Sites, in units of the cell vectors:
La  0.000  0.000  0.000
Tb  0.012  0.355  0.208
Tb  0.208  0.012  0.355
Tb  0.226  0.563  0.458
Tb  0.355  0.208  0.012
Tb  0.437  0.542  0.774
Tb  0.458  0.226  0.563
Tb  0.542  0.774  0.437
Tb  0.563  0.458  0.226
Tb  0.645  0.792  0.988
Tb  0.774  0.437  0.542
Tb  0.792  0.988  0.645
Tb  0.988  0.645  0.792
Sm  0.091  0.258  0.688
Sm  0.258  0.688  0.091
Sm  0.312  0.909  0.742
Sm  0.688  0.091  0.258
Sm  0.742  0.312  0.909
Sm  0.909  0.742  0.312


Below is ScSb3 after structural relaxation, with properties calculated at the PBE level.

Calculated values
- Symmetry: No. 225
- Formation energy without anion corrections: -0.048 eV/atom

a b c (Å): 5.285 5.285 5.285
angles (deg): 60.00 60.00 60.00
Sites, in units of the cell vectors:
Sc  0.000  0.000  0.000
Sb  0.250  0.250  0.250
Sb  0.500  0.500  0.500
Sb  0.750  0.750  0.750


Below is CaAcLuAl after structural relaxation, with properties calculated at the PBE level.

Calculated values
- ΔH_f (0 K): 0.021 eV per atom
- Symmetry: No. 216

a b c (Å): 5.578 5.578 5.578
angles (deg): 60.00 60.00 60.00
Sites, in units of the cell vectors:
Ca  0.000  0.000  0.000
Ac  0.250  0.250  0.250
Lu  0.750  0.750  0.750
Al  0.500  0.500  0.500


Below is YGe after structural relaxation, with properties calculated at the PBE level.

Calculated values
- ΔH_f (0 K): -0.874 eV per atom
- Symmetry: No. 63

a b c (Å): 6.930 6.930 6.497
angles (deg): 90.00 90.00 143.75
Sites, in units of the cell vectors:
Y  0.047  0.953  0.750
Y  0.224  0.776  0.250
Y  0.776  0.224  0.750
Y  0.953  0.047  0.250
Ge  0.397  0.603  0.547
Ge  0.397  0.603  0.953
Ge  0.603  0.397  0.047
Ge  0.603  0.397  0.453


Below is LiCoS2Cl after structural relaxation, with properties calculated at the PBE level.

Calculated values
- Symmetry: No. 123
- Formation energy without anion corrections: 0.543 eV/atom

a b c (Å): 4.300 4.300 4.969
angles (deg): 90.00 90.00 90.00
Sites, in units of the cell vectors:
Li  0.000  0.000  0.000
Co  0.500  0.500  0.500
S  0.000  0.500  0.000
S  0.500  0.000  0.000
Cl  0.000  0.000  0.500


Below is LaSc2HgO after structural relaxation, with properties calculated at the PBE level.

Calculated values
- Symmetry: No. 123
- Formation energy without anion corrections: -1.315 eV/atom

a b c (Å): 4.576 4.576 4.925
angles (deg): 90.00 90.00 90.00
Sites, in units of the cell vectors:
La  0.000  0.000  0.000
Sc  0.000  0.500  0.500
Sc  0.500  0.000  0.500
Hg  0.500  0.500  0.000
O  0.000  0.000  0.500